#P
The following is a PBE calculation of an optimized crystal structure of CaAsPb3, from the Alexandria database.

Values from the calculation:
The total moment comes out at 0.12 μB/atom. The space-group type is Pm-3m, No. 221. The calculation puts the volume at 195.9 Å³/cell.

a b c (Å): 5.8082 5.8082 5.8082
angles (deg): 90.00 90.00 90.00
Fractional coordinates of all 5 atoms:
Ca 0.0000 0.0000 0.0000
As 0.5000 0.5000 0.5000
Pb 0.0000 0.0000 0.5000
Pb 0.0000 0.5000 0.0000
Pb 0.5000 0.0000 0.0000

---

#Q
The following is a PBE calculation of an optimized crystal structure of CaAsPb3, from the Alexandria database.

Values from the calculation:
The total moment comes out at 0.00 μB/atom. The space-group type is Pm-3m, No. 221. The calculation puts the volume at 178.7 Å³/cell.

a b c (Å): 5.6326 5.6326 5.6326
angles (deg): 90.00 90.00 90.00
Fractional coordinates of all 5 atoms:
Ca 0.0000 0.0000 0.0000
As 0.5000 0.5000 0.5000
Pb 0.0000 0.5000 0.5000
Pb 0.5000 0.0000 0.5000
Pb 0.5000 0.5000 0.0000

---

Energy relative to the most stable one, in meV/atom: #P 689; #Q 0